# SiIr2, optimized geometry, DFT PBE
data_SiIr2
_space_group_name_H-M_alt 'C 1 2/m 1'
_space_group_IT_number 12
_space_group_name_Hall '-C 2y'
_cell_length_a 10.989
_cell_length_b 2.763
_cell_length_c 6.243
_cell_angle_alpha 90.00
_cell_angle_beta 113.33
_cell_angle_gamma 90.00
loop_
_atom_site_label
_atom_site_fract_x
_atom_site_fract_y
_atom_site_fract_z
Si1 0.149 0.000 0.177
Ir1 0.051 0.500 0.827
Ir2 0.164 0.000 0.587
# Electronic total energy in eV per atom: -8.09
# Total magnetization in μB per cell: 0.0
# Calculated volume in Å³/cell: 174.1
# E_form (uncorrected) in eV per atom: -0.372